Below is InCuSeS after structural relaxation, with properties calculated at the PBE level.

abc: 4.081 4.081 7.003
angles: 90.03 106.91 120.00
Fractional coordinates of all 4 atoms:
S 0.437 0.103 0.540
Se 0.476 0.622 0.098
Cu 0.200 0.983 0.183
In 0.216 0.493 0.709

Computed properties:
formation energy from raw total energies = -396 meV/atom
space-group type = No. 160
relative energy among the computed polymorphs = 63 meV/atom